[1]
The following is a PBE calculation of crystalline HfTiNb at its relaxed geometry, from the Alexandria database.

POSCAR file:
```
HfTiNb
1.0
5.058 -2.358 0.000
5.058 2.358 0.000
-3.380 0.000 4.859
Hf Ti Nb
2 2 2
Direct
0.171 0.171 0.261 Hf
0.829 0.829 0.739 Hf
0.469 0.469 0.222 Ti
0.531 0.531 0.778 Ti
0.145 0.145 0.742 Nb
0.855 0.855 0.258 Nb
```

D(E_F)   7.8 states/eV per cell
Distance to the lowest polymorph of the same formula   7 meV per atom
Size of the total moment   0.0000 μB/atom
Total DFT energy (no corrections)   -55.62 eV for the cell shown

***

[2]
The following is a PBE calculation of crystalline Hf2Ti2Nb3 at its relaxed geometry, from the Alexandria database.

POSCAR file:
```
Hf2Ti2Nb3
1.0
4.012 -2.330 0.000
4.012 2.330 0.000
-2.674 0.000 7.095
Hf Ti Nb
2 2 3
Direct
0.073 0.073 0.216 Hf
0.927 0.927 0.784 Hf
0.205 0.205 0.617 Ti
0.795 0.795 0.383 Ti
0.354 0.354 0.059 Nb
0.500 0.500 0.500 Nb
0.646 0.646 0.941 Nb
```

D(E_F)   9.4 states/eV per cell
Size of the total moment   0.0000 μB/atom
Total DFT energy (no corrections)   -65.52 eV for the cell shown

***

[3]
The following is a PBE calculation of crystalline HfTiNb2 at its relaxed geometry, from the Alexandria database.

POSCAR file:
```
HfTiNb2
1.0
5.027 0.000 0.000
0.000 5.027 0.000
0.000 0.000 2.989
Hf Ti Nb
1 1 2
Direct
0.000 0.000 0.000 Hf
0.500 0.500 0.000 Ti
0.000 0.500 0.500 Nb
0.500 0.000 0.500 Nb
```

D(E_F)   6.7 states/eV per cell
Distance to the lowest polymorph of the same formula   44 meV per atom
Size of the total moment   0.0001 μB/atom
Total DFT energy (no corrections)   -37.50 eV for the cell shown

***

[4]
The following is a PBE calculation of crystalline HfTiNb at its relaxed geometry, from the Alexandria database.

POSCAR file:
```
HfTiNb
1.0
1.461 -8.405 0.000
1.461 8.405 0.000
0.000 0.000 4.731
Hf Ti Nb
2 2 2
Direct
0.050 0.950 0.750 Hf
0.950 0.050 0.250 Hf
0.374 0.626 0.750 Ti
0.626 0.374 0.250 Ti
0.213 0.787 0.750 Nb
0.787 0.213 0.250 Nb
```

D(E_F)   8.0 states/eV per cell
Distance to the lowest polymorph of the same formula   130 meV per atom
Size of the total moment   0.0002 μB/atom
Total DFT energy (no corrections)   -54.89 eV for the cell shown

***

[5]
The following is a PBE calculation of crystalline HfTi3Nb at its relaxed geometry, from the Alexandria database.

POSCAR file:
```
HfTi3Nb
1.0
2.854 -6.311 0.000
2.854 6.311 0.000
0.000 0.000 5.282
Hf Ti Nb
2 6 2
Direct
0.085 0.915 0.750 Hf
0.915 0.085 0.250 Hf
0.098 0.411 0.750 Ti
0.315 0.685 0.250 Ti
0.411 0.098 0.250 Ti
0.589 0.902 0.750 Ti
0.685 0.315 0.750 Ti
0.902 0.589 0.250 Ti
0.500 0.500 0.000 Nb
0.500 0.500 0.500 Nb
```

D(E_F)   16.4 states/eV per cell
Distance to the lowest polymorph of the same formula   190 meV per atom
Size of the total moment   0.0001 μB/atom
Total DFT energy (no corrections)   -85.01 eV for the cell shown

***

[6]
The following is a PBE calculation of crystalline HfTiNb at its relaxed geometry, from the Alexandria database.

POSCAR file:
```
HfTiNb
1.0
2.992 0.000 0.000
1.298 5.544 0.000
1.109 1.344 6.948
Hf Ti Nb
2 2 2
Direct
0.089 0.088 0.182 Hf
0.911 0.912 0.818 Hf
0.341 0.265 0.506 Ti
0.659 0.735 0.494 Ti
0.460 0.421 0.839 Nb
0.540 0.579 0.161 Nb
```

D(E_F)   8.7 states/eV per cell
Distance to the lowest polymorph of the same formula   23 meV per atom
Size of the total moment   0.0000 μB/atom
Total DFT energy (no corrections)   -55.53 eV for the cell shown

***

[7]
The following is a PBE calculation of crystalline HfTiNbV at its relaxed geometry, from the Alexandria database.

POSCAR file:
```
HfTiNbV
1.0
0.000 3.294 3.294
3.294 0.000 3.294
3.294 3.294 0.000
Hf Ti Nb V
1 1 1 1
Direct
0.000 0.000 0.000 Hf
0.250 0.250 0.250 Ti
0.500 0.500 0.500 Nb
0.750 0.750 0.750 V
```

D(E_F)   6.8 states/eV per cell
Size of the total moment   0.0763 μB/atom
Total DFT energy (no corrections)   -36.60 eV for the cell shown

***

[8]
The following is a PBE calculation of crystalline HfTiNb2W at its relaxed geometry, from the Alexandria database.

POSCAR file:
```
HfTiNb2W
1.0
4.580 0.000 0.000
0.000 4.580 0.000
0.000 0.000 4.887
Hf Ti Nb W
1 1 2 1
Direct
0.000 0.000 0.000 Hf
0.000 0.000 0.500 Ti
0.000 0.500 0.500 Nb
0.500 0.000 0.500 Nb
0.500 0.500 0.000 W
```

D(E_F)   7.5 states/eV per cell
Size of the total moment   0.0000 μB/atom
Total DFT energy (no corrections)   -43.61 eV for the cell shown

***

no.,ΔE_f (eV per formula unit)
1,0.11
2,0.39
3,0.49
4,0.47
5,1.20
6,0.15
7,0.43
8,7.33